## BaAsN (PBE)

Data for a relaxed structure of BaAsN.

a = 4.2205 Å, b = 7.8947 Å, c = 4.9340 Å
α = 90.00°, β = 93.76°, γ = 90.00°
With the nearest neighbours (Å) after each atom.
Fractional positions:
Ba 0.0000 0.0000 0.0000  8 As 3.36-3.56
Ba 0.0000 0.5000 0.5000  2 N 2.77
As 0.5000 0.1534 0.5000  1 As 2.42
As 0.5000 0.8466 0.5000  1 As 2.42
N 0.4115 0.5000 0.0853  1 N 1.16
N 0.5885 0.5000 0.9147  1 N 1.16

Output
For the formation energy (no corrections), the calculation gives -0.62 eV/atom. The symmetry is P2/m. The calculation puts the density at 4.6 g/cm3. The relative energy among the computed polymorphs comes out at 56 meV/atom.